# 1
VASP calculation (PBE) on a relaxed Ni2PdS crystal.

Summary:
E_form (uncorrected): -0.016 eV/atom
crystal system: trigonal

Unit cell a=3.721 b=3.721 c=5.041 alpha=68.34 beta=68.34 gamma=60.00
Atoms (fractional coordinates):
Ni (0.051, 0.051, 0.846)
Ni (0.285, 0.285, 0.146)
S (0.667, 0.667, 0.998)
Pd (0.497, 0.497, 0.510)

# 2
VASP calculation (PBE) on a relaxed NiPdS2 crystal.

Summary:
E_form (uncorrected): -0.227 eV/atom
crystal system: trigonal

Unit cell a=3.686 b=3.686 c=6.399 alpha=73.26 beta=73.26 gamma=60.00
Atoms (fractional coordinates):
Pd (0.620, 0.620, 0.139)
Ni (0.129, 0.129, 0.612)
S (0.489, 0.489, 0.532)
S (0.011, 0.011, 0.967)